The following is a GGA-PBE calculation of a geometry-optimized LiMg6Cd3 structure, from Alexandria via LeMat-Bulk.

mass density	3.8	g/cm3
space group	No. 11
total magnetization	0.0	μB/cell
V	21.4	Å³/atom
DFT formation energy	-97	meV/atom
energy	-1.52	eV per atom

Geometry as POSCAR:
```
LiMg6Cd3
1.0
8.267 0.000 0.000
0.000 5.062 0.000
-3.585 0.000 10.217
Li Mg Cd
2 12 6
direct
0.106 0.250 0.071
0.894 0.750 0.929
0.087 0.750 0.222
0.104 0.250 0.571
0.288 0.750 0.030
0.294 0.250 0.367
0.495 0.750 0.831
0.497 0.750 0.334
0.503 0.250 0.666
0.505 0.250 0.169
0.706 0.750 0.633
0.712 0.250 0.970
0.896 0.750 0.429
0.913 0.250 0.778
0.095 0.750 0.736
0.297 0.750 0.530
0.308 0.250 0.875
0.692 0.750 0.125
0.703 0.250 0.470
0.905 0.250 0.264
```